DFT (PBE) results for an optimized crystal structure of Li2SiMo.

Cell and atoms, written as extended XYZ:
```
4
Lattice="2.6506 0.0000 0.0000 0.0000 4.3522 0.0000 0.0000 0.0000 5.0243" Properties=species:S:1:pos:R:3 pbc="T T T"
Li 0.0000 0.0000 1.2384
Li 0.0000 0.0000 3.7860
Si 1.3253 2.1761 0.0000
Mo 1.3253 2.1761 2.5122
```

formation energy from raw total energies: 0.1641 eV/atom
D(E_F): 4.364 states/eV per cell
space group: Pmmm, No. 47
magnetic moment: 0.00 μB/atom